1.
Computed, not measured: a crystal of Sr2ZrMn relaxed with PBEsol at the SCAN level of DFT.

* distance to the lowest polymorph of the same formula: 171 meV per atom
* magnetic moment: 5.8 μB per formula unit
* theoretical density: 4.59 g cm⁻³
* calculated total energy: -22.80 eV per atom

Cell: 3.467 3.467 9.665 Å, 90.00 90.00 90.00°
Sites, in units of the cell vectors:
Sr (0.000, 0.000, 0.228)
Sr (0.000, 0.000, 0.772)
Zr (0.500, 0.500, 0.500)
Mn (0.500, 0.500, 0.000)

2.
Computed, not measured: a crystal of SrZrMn2 relaxed with PBEsol at the SCAN level of DFT.

* distance to the lowest polymorph of the same formula: 0 meV per atom
* magnetic moment: 6.2 μB per formula unit
* theoretical density: 5.38 g cm⁻³
* calculated total energy: -22.01 eV per atom

Cell: 8.836 3.072 6.613 Å, 90.00 96.86 90.00°
Sites, in units of the cell vectors:
Sr (0.000, 0.000, 0.000)
Sr (0.500, 0.500, 0.000)
Zr (0.000, 0.500, 0.500)
Zr (0.500, 0.000, 0.500)
Mn (0.240, 0.000, 0.658)
Mn (0.260, 0.500, 0.342)
Mn (0.740, 0.500, 0.658)
Mn (0.760, 0.000, 0.342)

3.
Computed, not measured: a crystal of Ta6Mn7 relaxed with PBEsol at the SCAN level of DFT.

* magnetic moment: 0.0 μB per formula unit
* theoretical density: 13.77 g cm⁻³
* calculated total energy: -40.68 eV per atom

Cell: 9.319 9.319 9.319 Å, 29.83 29.83 29.83°
Sites, in units of the cell vectors:
Ta (0.050, 0.050, 0.050)
Ta (0.152, 0.152, 0.152)
Ta (0.333, 0.333, 0.333)
Ta (0.667, 0.667, 0.667)
Ta (0.848, 0.848, 0.848)
Ta (0.950, 0.950, 0.950)
Mn (0.088, 0.595, 0.595)
Mn (0.405, 0.405, 0.912)
Mn (0.405, 0.912, 0.405)
Mn (0.500, 0.500, 0.500)
Mn (0.595, 0.088, 0.595)
Mn (0.595, 0.595, 0.088)
Mn (0.912, 0.405, 0.405)